First-principles (GGA+U) data for a relaxed V2Bi4O11 crystal, as listed in Alexandria.

```
V2Bi4O11
1.0
9.784 0.000 0.000
0.000 7.105 -0.005
0.000 1.870 8.588
Bi O V
8 22 4
Cartesian
5.791 3.105 4.624
0.726 3.983 0.073
0.899 5.871 3.959
4.418 7.429 2.802
9.310 1.547 5.780
3.081 7.164 6.435
7.974 1.811 2.148
5.619 4.993 8.510
6.180 5.277 3.716
7.936 7.992 7.420
6.351 5.331 6.411
0.722 1.272 3.666
7.638 3.238 0.582
5.827 2.285 2.554
1.929 1.779 7.326
3.435 2.098 3.855
7.873 2.696 4.438
3.044 0.983 1.162
0.935 6.691 6.028
2.746 5.737 8.001
8.328 6.877 4.728
1.458 3.644 2.172
6.821 7.196 1.257
5.811 2.756 7.368
1.288 3.698 4.867
2.980 6.279 4.145
0.919 6.219 1.215
5.293 7.226 8.324
0.400 1.749 0.259
5.614 7.703 4.917
6.483 8.519 8.219
6.678 6.305 5.007
1.785 2.670 3.575
1.591 0.456 0.364
```

Results
ΔE to the lowest computed polymorph in meV/atom: 44
Raw total energy in eV for the cell shown: -221.266
Space group: P2_1 (4)